The following is a PBEsol calculation of a relaxed structure of ZrPW2F, from the Alexandria database.

The structure in extended XYZ format:
```
5
Lattice="4.110 0.000 0.000 0.000 4.110 0.000 0.000 0.000 4.460" Properties=species:S:1:pos:R:3 pbc="T T T"
Zr 0.000 0.000 0.000
P 2.055 2.055 0.000
W 0.000 2.055 2.230
W 2.055 0.000 2.230
F 0.000 0.000 2.230
```

Calculated values
space group = P4/mmm
magnetic moment = 0.00 μB/cell
crystal system = tetragonal
V = 75.4 Å³ per cell
ΔE_f (raw) = 0.4850 eV/atom